[1]
TiInRhPb2: relaxed, PBE.

* total magnetic moment: 0.1 Bohr magnetons per cell
* electronic total energy: -3.953 eV per atom
* formation enthalpy at 0 K: 1.13 eV/atom
* N(E_F): 8.26 states/eV/f.u.
* space-group type: P4/mmm, No. 123

Unit cell a=5.548 b=5.548 c=4.887 alpha=90.00 beta=90.00 gamma=90.00
Fractional positions:
Pb: 0.000 0.500 0.000
Pb: 0.500 0.000 0.000
Ti: 0.500 0.500 0.500
Rh: 0.000 0.000 0.500
In: 0.000 0.000 0.000

***

[2]
CaAl2GaPd4: relaxed, PBE.

* total magnetic moment: 0.0 Bohr magnetons per cell
* electronic total energy: -4.901 eV per atom
* formation enthalpy at 0 K: -0.74 eV/atom
* N(E_F): 3.30 states/eV/f.u.
* space-group type: R-3m, No. 166

Unit cell a=4.345 b=4.345 c=8.855 alpha=75.80 beta=75.80 gamma=60.00
Fractional positions:
Ca: 0.000 0.000 0.000
Al: 0.759 0.759 0.724
Al: 0.241 0.241 0.276
Ga: 0.500 0.500 0.500
Pd: 0.403 0.403 0.792
Pd: 0.868 0.868 0.396
Pd: 0.132 0.132 0.604
Pd: 0.597 0.597 0.208

***

[3]
AcBe2Au8: relaxed, PBE.

* total magnetic moment: 0.0 Bohr magnetons per cell
* electronic total energy: -3.598 eV per atom
* formation enthalpy at 0 K: -0.16 eV/atom
* N(E_F): 3.51 states/eV/f.u.
* space-group type: P4/mmm, No. 123

Unit cell a=5.569 b=5.569 c=8.048 alpha=90.00 beta=90.00 gamma=90.00
Fractional positions:
Ac: 0.500 0.500 0.500
Be: 0.500 0.000 0.000
Be: 0.000 0.500 0.000
Au: 0.753 0.753 0.187
Au: 0.753 0.247 0.813
Au: 0.753 0.753 0.813
Au: 0.753 0.247 0.187
Au: 0.247 0.753 0.187
Au: 0.247 0.753 0.813
Au: 0.247 0.247 0.187
Au: 0.247 0.247 0.813

***

[4]
SbTe2Pb: relaxed, PBE.

* total magnetic moment: 0.0 Bohr magnetons per cell
* electronic total energy: -3.522 eV per atom
* N(E_F): 1.62 states/eV/f.u.
* space-group type: Imm2, No. 44

Unit cell a=6.818 b=6.818 c=6.818 alpha=144.44 beta=126.81 gamma=65.63
Fractional positions:
Pb: 0.564 0.564 0.000
Sb: 0.177 0.677 0.500
Te: 0.000 0.000 0.000
Te: 0.758 0.258 0.500

***

[5]
CeMgZn17: relaxed, PBE.

* total magnetic moment: 0.8 Bohr magnetons per cell
* electronic total energy: -1.652 eV per atom
* formation enthalpy at 0 K: -0.12 eV/atom
* N(E_F): 9.51 states/eV/f.u.
* space-group type: R3m, No. 160

Unit cell a=6.814 b=6.814 c=6.814 alpha=82.55 beta=82.55 gamma=82.55
Site moments in Bohr magnetons follow the coordinates.
Fractional positions:
Ce: 0.660 0.660 0.660  0.71
Mg: 0.364 0.364 0.364  0.00
Zn: 0.296 0.004 0.694  0.00
Zn: 0.694 0.296 0.004  0.00
Zn: 0.004 0.694 0.296  0.00
Zn: 0.296 0.694 0.004  0.00
Zn: 0.004 0.296 0.694  0.00
Zn: 0.694 0.004 0.296  0.00
Zn: 0.349 0.846 0.349  0.00
Zn: 0.349 0.349 0.846  0.00
Zn: 0.846 0.349 0.349  0.00
Zn: 0.647 0.163 0.647  0.00
Zn: 0.647 0.647 0.163  0.00
Zn: 0.163 0.647 0.647  0.00
Zn: 0.989 0.503 0.989  0.00
Zn: 0.989 0.989 0.503  0.00
Zn: 0.503 0.989 0.989  0.00
Zn: 0.902 0.902 0.902  0.00
Zn: 0.105 0.105 0.105  0.00

***

[6]
AcEr2Lu: relaxed, PBE.

* total magnetic moment: 0.0 Bohr magnetons per cell
* electronic total energy: -4.339 eV per atom
* formation enthalpy at 0 K: 0.10 eV/atom
* N(E_F): 6.36 states/eV/f.u.
* space-group type: P4/mmm, No. 123

Unit cell a=4.045 b=4.045 c=8.343 alpha=90.00 beta=90.00 gamma=90.00
Fractional positions:
Ac: 0.500 0.500 0.500
Lu: 0.500 0.500 0.000
Er: 0.000 0.000 0.783
Er: 0.000 0.000 0.217

***

[7]
La2CeYBi5: relaxed, PBE.

* total magnetic moment: 0.0 Bohr magnetons per cell
* electronic total energy: -4.838 eV per atom
* formation enthalpy at 0 K: -0.21 eV/atom
* N(E_F): 9.45 states/eV/f.u.
* space-group type: P4/mmm, No. 123

Unit cell a=5.603 b=5.603 c=11.908 alpha=90.00 beta=90.00 gamma=90.00
Fractional positions:
La: 0.500 0.500 0.281
La: 0.500 0.500 0.719
Ce: 0.000 0.000 0.500
Y: 0.000 0.000 0.000
Bi: 0.000 0.500 0.500
Bi: 0.500 0.000 0.500
Bi: 0.000 0.000 0.754
Bi: 0.000 0.000 0.246
Bi: 0.500 0.500 0.000

***

[8]
Ta2OsSe: relaxed, PBE.

* total magnetic moment: 0.0 Bohr magnetons per cell
* electronic total energy: -9.587 eV per atom
* N(E_F): 2.59 states/eV/f.u.
* space-group type: C2/m, No. 12

Unit cell a=6.183 b=4.748 c=3.109 alpha=83.98 beta=70.02 gamma=122.63
Fractional positions:
Os: 0.000 0.500 0.500
Se: 0.500 0.500 0.000
Ta: 0.000 0.000 0.000
Ta: 0.500 0.000 0.500

***

[9]
Na2ZnCd6Au: relaxed, PBE.

* total magnetic moment: 0.0 Bohr magnetons per cell
* electronic total energy: -1.307 eV per atom
* formation enthalpy at 0 K: -0.04 eV/atom
* N(E_F): 3.75 states/eV/f.u.
* space-group type: Pmmn, No. 59

Unit cell a=8.105 b=6.510 c=9.760 alpha=90.00 beta=90.00 gamma=90.00
Fractional positions:
Na: 0.500 0.760 0.256
Na: 0.000 0.240 0.756
Na: 0.500 0.760 0.744
Na: 0.000 0.240 0.244
Zn: 0.000 0.544 0.500
Zn: 0.500 0.456 0.000
Cd: 0.500 0.262 0.248
Cd: 0.500 0.262 0.752
Cd: 0.000 0.738 0.252
Cd: 0.000 0.738 0.748
Cd: 0.186 0.916 0.500
Cd: 0.814 0.916 0.500
Cd: 0.307 0.422 0.500
Cd: 0.693 0.422 0.500
Cd: 0.807 0.578 0.000
Cd: 0.193 0.578 0.000
Cd: 0.314 0.084 0.000
Cd: 0.686 0.084 0.000
Au: 0.500 0.054 0.500
Au: 0.000 0.946 0.000

***

[10]
CeTeI2: relaxed, PBE.

* total magnetic moment: 0.1 Bohr magnetons per cell
* electronic total energy: -4.076 eV per atom
* space-group type: Imm2, No. 44

Unit cell a=4.096 b=7.147 c=7.147 alpha=61.92 beta=73.35 gamma=73.35
Site moments in Bohr magnetons follow the coordinates.
Fractional positions:
Ce: 0.750 0.889 0.611  0.27
Te: 0.250 0.186 0.314  -0.06
I: 0.075 0.887 0.962  -0.02
I: 0.425 0.538 0.613  -0.02

***

[11]
ErTh2HgC: relaxed, PBE.

* total magnetic moment: 0.0 Bohr magnetons per cell
* electronic total energy: -6.081 eV per atom
* formation enthalpy at 0 K: -0.30 eV/atom
* N(E_F): 3.38 states/eV/f.u.
* space-group type: P4/mmm, No. 123

Unit cell a=5.067 b=5.067 c=4.888 alpha=90.00 beta=90.00 gamma=90.00
Fractional positions:
Er: 0.000 0.000 0.500
Th: 0.000 0.500 0.000
Th: 0.500 0.000 0.000
Hg: 0.500 0.500 0.500
C: 0.000 0.000 0.000

***

[12]
Na2In8Ga: relaxed, PBE.

* total magnetic moment: 0.0 Bohr magnetons per cell
* electronic total energy: -2.562 eV per atom
* formation enthalpy at 0 K: -0.06 eV/atom
* N(E_F): 2.80 states/eV/f.u.
* space-group type: P4/mmm, No. 123

Unit cell a=4.935 b=4.935 c=11.977 alpha=90.00 beta=90.00 gamma=90.00
Fractional positions:
Na: 0.000 0.000 0.319
Na: 0.000 0.000 0.681
In: 0.000 0.500 0.500
In: 0.500 0.000 0.500
In: 0.500 0.500 0.315
In: 0.500 0.500 0.685
In: 0.000 0.500 0.136
In: 0.500 0.000 0.136
In: 0.000 0.500 0.864
In: 0.500 0.000 0.864
Ga: 0.000 0.000 0.000